Record 1
# YTa2Zn

YTa2Zn after structural relaxation (GGA-PBEsol, the Alexandria database).

Cell lengths 4.7326, 4.7326, 4.7326 Å; angles 60.00, 60.00, 60.00 degrees
Closest atoms and distances in Å follow each position.
Fractional coordinates of all 4 atoms:
Ta1 0.2500 0.2500 0.2500  4 Ta 2.90, 4 Y 2.90
Ta2 0.0000 0.0000 0.0000  4 Zn 2.90, 4 Ta 2.90
Y1 0.5000 0.5000 0.5000  4 Ta 2.90, 4 Zn 2.90
Zn1 0.7500 0.7500 0.7500  4 Y 2.90, 4 Ta 2.90

Calculated values
Its space group is No. 216. The formation energy comes out at 0.2533 eV per atom.

Record 2
# ScIn3Ga

ScIn3Ga after structural relaxation (GGA-PBEsol, the Alexandria database).

Cell lengths 5.4730, 5.4730, 5.4730 Å; angles 90.00, 90.00, 90.00 degrees
Closest atoms and distances in Å follow each position.
Fractional coordinates of all 5 atoms:
In1 0.0000 0.5000 0.0000  2 Sc 2.74
In2 0.0000 0.0000 0.5000  2 Sc 2.74
In3 0.5000 0.0000 0.0000  2 Sc 2.74
Sc1 0.0000 0.0000 0.0000  6 In 2.74
Ga1 0.5000 0.5000 0.5000  12 In 3.87

Calculated values
Its space group is No. 221. The formation energy comes out at 0.5864 eV per atom.

Record 3
# ZrPb2Br

ZrPb2Br after structural relaxation (GGA-PBEsol, the Alexandria database).

Cell lengths 3.3939, 5.4894, 5.5444 Å; angles 90.00, 92.70, 90.00 degrees
Closest atoms and distances in Å follow each position.
Fractional coordinates of all 4 atoms:
Pb1 0.1930 0.0000 0.7618  3 Pb 3.00-3.29, 2 Zr 3.20, 2 Br 3.30
Pb2 0.8070 0.0000 0.2382  3 Pb 3.00-3.29, 2 Zr 3.20, 2 Br 3.30
Zr1 0.5000 0.5000 0.0000  2 Br 2.77
Br1 0.5000 0.5000 0.5000  2 Zr 2.77

Calculated values
The calculation puts the energy above the most stable polymorph in this dataset at 197.3 meV/atom. Its space group is No. 10.

Record 4
# Y2InPb

Y2InPb after structural relaxation (GGA-PBEsol, the Alexandria database).

Cell lengths 4.5080, 4.2892, 6.1092 Å; angles 90.00, 111.66, 90.00 degrees
Closest atoms and distances in Å follow each position.
Fractional coordinates of all 4 atoms:
Y1 0.7405 0.5000 0.3562  3 Pb 3.13-3.40, 4 In 3.15
Y2 0.0115 0.0000 0.8976  3 In 3.09-3.43, 4 Pb 3.16
Pb1 0.4651 0.5000 0.8049  2 In 2.98, 5 Y 3.13-3.16
In1 0.2829 0.0000 0.4413  2 Pb 2.98, 5 Y 3.09-3.15

Calculated values
Its space group is No. 38. The formation energy comes out at -0.5751 eV per atom.

Record 5
# Ca2NbRh2

Ca2NbRh2 after structural relaxation (GGA-PBEsol, the Alexandria database).

Cell lengths 4.6779, 4.6779, 4.7307 Å; angles 90.00, 90.00, 90.00 degrees
Closest atoms and distances in Å follow each position.
Fractional coordinates of all 5 atoms:
Rh1 0.0000 0.5000 0.0000  2 Ca 2.34
Rh2 0.5000 0.0000 0.0000  2 Ca 2.34
Nb1 0.5000 0.5000 0.5000  4 Ca 3.31, 8 Rh 3.33
Ca1 0.0000 0.0000 0.5000  2 Ca 2.37
Ca2 0.0000 0.0000 0.0000  4 Rh 2.34, 2 Ca 2.37

Calculated values
Its space group is No. 123. The formation energy comes out at 1.4307 eV per atom.

Record 6
# YBe3Os

YBe3Os after structural relaxation (GGA-PBEsol, the Alexandria database).

Cell lengths 4.2389, 4.2389, 4.2389 Å; angles 90.00, 90.00, 90.00 degrees
Closest atoms and distances in Å follow each position.
Fractional coordinates of all 5 atoms:
Be1 0.0000 0.0000 0.5000  2 Os 2.12
Be2 0.5000 0.0000 0.0000  2 Os 2.12
Be3 0.0000 0.5000 0.0000  2 Os 2.12
Os1 0.0000 0.0000 0.0000  6 Be 2.12
Y1 0.5000 0.5000 0.5000  12 Be 3.00

Calculated values
Its space group is No. 221. The formation energy comes out at -0.0253 eV per atom.

Record 7
# Al5Fe24

Al5Fe24 after structural relaxation (GGA-PBEsol, the Alexandria database).

Cell lengths 7.4183, 7.4183, 7.4183 Å; angles 109.47, 109.47, 109.47 degrees
Closest atoms and distances in Å follow each position.
Fractional coordinates of all 29 atoms:
Al1 0.0000 0.0000 0.6278  15 Fe 2.49-2.77, 1 Al 2.76
Al2 0.6278 0.0000 0.0000  15 Fe 2.49-2.77, 1 Al 2.76
Al3 0.0000 0.6278 0.0000  15 Fe 2.49-2.77, 1 Al 2.76
Al4 0.0000 0.0000 0.0000  12 Fe 2.63, 4 Al 2.76
Al5 0.3722 0.3722 0.3722  15 Fe 2.49-2.77, 1 Al 2.76
Fe1 0.0000 0.3863 0.6738  5 Fe 2.25-2.52, 1 Al 2.49
Fe2 0.3863 0.0000 0.6738  5 Fe 2.25-2.52, 1 Al 2.49
Fe3 0.7125 0.3262 0.3262  5 Fe 2.25-2.52, 1 Al 2.49
Fe4 0.1898 0.0000 0.3687  4 Fe 2.17-2.30
Fe5 0.6313 0.8211 0.6313  4 Fe 2.17-2.30
Fe6 0.8102 0.8102 0.1789  4 Fe 2.17-2.30
Fe7 0.0000 0.1898 0.3687  4 Fe 2.17-2.30
Fe8 0.1789 0.8102 0.8102  4 Fe 2.17-2.30
Fe9 0.0000 0.6738 0.3863  5 Fe 2.25-2.52, 1 Al 2.49
Fe10 0.6738 0.3863 0.0000  5 Fe 2.25-2.52, 1 Al 2.49
Fe11 0.8211 0.6313 0.6313  4 Fe 2.17-2.30
Fe12 0.6738 0.0000 0.3863  5 Fe 2.25-2.52, 1 Al 2.49
Fe13 0.3687 0.1898 0.0000  4 Fe 2.17-2.30
Fe14 0.6137 0.2875 0.6137  5 Fe 2.25-2.52, 1 Al 2.49
Fe15 0.3687 0.0000 0.1898  4 Fe 2.17-2.30
Fe16 0.2875 0.6137 0.6137  5 Fe 2.25-2.52, 1 Al 2.49
Fe17 0.6313 0.6313 0.8211  4 Fe 2.17-2.30
Fe18 0.6137 0.6137 0.2875  5 Fe 2.25-2.52, 1 Al 2.49
Fe19 0.3262 0.3262 0.7125  5 Fe 2.25-2.52, 1 Al 2.49
Fe20 0.0000 0.3687 0.1898  4 Fe 2.17-2.30
Fe21 0.8102 0.1789 0.8102  4 Fe 2.17-2.30
Fe22 0.1898 0.3687 0.0000  4 Fe 2.17-2.30
Fe23 0.3863 0.6738 0.0000  5 Fe 2.25-2.52, 1 Al 2.49
Fe24 0.3262 0.7125 0.3262  5 Fe 2.25-2.52, 1 Al 2.49

Calculated values
Its space group is No. 217. The formation energy comes out at -0.0734 eV per atom.

Record 8
# K2OsNCl5

K2OsNCl5 after structural relaxation (GGA-PBEsol, the Alexandria database).

Cell lengths 6.7792, 9.8109, 13.0978 Å; angles 90.00, 90.00, 90.00 degrees
Closest atoms and distances in Å follow each position.
Fractional coordinates of all 36 atoms:
Cl1 0.5755 0.2500 0.7195  1 Os 2.36
Cl2 0.6884 0.9888 0.3958  1 Os 2.36
Cl3 0.4245 0.7500 0.2805  1 Os 2.36
Cl4 0.4000 0.2500 0.2473  1 Os 2.62
Cl5 0.6884 0.5112 0.3958  1 Os 2.36
Cl6 0.3116 0.0112 0.6042  1 Os 2.36
Cl7 0.1884 0.4888 0.1042  1 Os 2.36
Cl8 0.5366 0.7500 0.0017  1 Os 2.35
Cl9 0.1884 0.0112 0.1042  1 Os 2.36
Cl10 0.9634 0.7500 0.5017  1 Os 2.35
Cl11 0.0755 0.7500 0.7805  1 Os 2.36
Cl12 0.6000 0.7500 0.7527  1 Os 2.62
Cl13 0.0366 0.2500 0.4983  1 Os 2.35
Cl14 0.9245 0.2500 0.2195  1 Os 2.36
Cl15 0.1000 0.2500 0.7473  1 Os 2.62
Cl16 0.8116 0.5112 0.8958  1 Os 2.36
Cl17 0.3116 0.4888 0.6042  1 Os 2.36
Cl18 0.9000 0.7500 0.2527  1 Os 2.62
Cl19 0.8116 0.9888 0.8958  1 Os 2.36
Cl20 0.4634 0.2500 0.9983  1 Os 2.35
K1 0.8335 0.9991 0.6466  9 Cl 3.17-3.43
K2 0.1665 0.4991 0.3534  9 Cl 3.17-3.43
K3 0.6665 0.9991 0.1466  9 Cl 3.17-3.43
K4 0.1665 0.0009 0.3534  9 Cl 3.17-3.43
K5 0.3335 0.4991 0.8534  9 Cl 3.17-3.43
K6 0.3335 0.0009 0.8534  9 Cl 3.17-3.43
K7 0.6665 0.5009 0.1466  9 Cl 3.17-3.43
K8 0.8335 0.5009 0.6466  9 Cl 3.17-3.43
Os1 0.6639 0.7500 0.4112  1 N 1.66
Os2 0.8361 0.7500 0.9112  1 N 1.66
Os3 0.1639 0.2500 0.0888  1 N 1.66
Os4 0.3361 0.2500 0.5888  1 N 1.66
N1 0.0073 0.2500 0.9916  1 Os 1.66
N2 0.5073 0.7500 0.5084  1 Os 1.66
N3 0.4927 0.2500 0.4916  1 Os 1.66
N4 0.9927 0.7500 0.0084  1 Os 1.66

Calculated values
Its space group is No. 62.

no.,DFT total energy (eV for the cell shown),magnetization (μB per atom)
1,-32.493,0.000
2,-15.961,0.000
3,-19.406,0.000
4,-22.926,0.000
5,-24.211,0.303
6,-31.165,0.000
7,-237.712,0.912
8,-167.866,0.000